(1)
4
Lattice="5.439 0.005 -0.003 2.518 4.821 0.003 -3.512 -3.182 2.669" Properties=species:S:1:pos:R:3 comment="TePtW2 | Alexandria via LeMat-Bulk | PBE | relaxed" volume_a3_per_fu=70 energy_ev_per_cell=-32.823 e_form_raw_ev_per_atom=0.57 sg="No. 71" pbc="T T T"
Pt 1.492 2.026 1.336
Te 2.953 -0.382 1.333
W 7.824 4.745 0.000
W 4.111 2.493 0.000


(2)
4
Lattice="2.909 -0.007 0.000 -0.906 2.764 0.000 0.000 0.000 9.244" Properties=species:S:1:pos:R:3 comment="TePtW2 | Alexandria via LeMat-Bulk | PBE | relaxed" volume_a3_per_fu=74 energy_ev_per_cell=-33.299 e_form_raw_ev_per_atom=0.45 sg="No. 35" pbc="T T T"
Pt 0.000 0.000 4.312
Te 1.001 1.378 7.013
W 0.000 0.000 0.260
W 1.001 1.378 2.281


(3)
5
Lattice="-0.191 -4.102 2.642 4.724 -0.817 -0.926 1.220 2.519 4.001" Properties=species:S:1:pos:R:3 comment="TePt3W | Alexandria via LeMat-Bulk | PBE | relaxed" volume_a3_per_fu=116 de_polymorph_ev_per_atom=0.0000 energy_ev_per_cell=-28.858 e_form_raw_ev_per_atom=1.07 sg="No. 221" pbc="T T T"
Te 2.876 -1.200 2.858
W 0.000 0.000 0.000
Pt 2.362 -0.408 -0.463
Pt 0.610 1.260 2.000
Pt -0.096 -2.051 1.321


(4)
4
Lattice="4.751 0.000 0.000 0.000 3.068 0.003 0.000 -0.004 4.809" Properties=species:S:1:pos:R:3 comment="TePtW2 | Alexandria via LeMat-Bulk | PBE | relaxed" volume_a3_per_fu=70 energy_ev_per_cell=-33.042 e_form_raw_ev_per_atom=0.51 sg="No. 25" pbc="T T T"
Pt 0.000 1.148 2.457
Te 2.375 2.682 3.522
W 0.000 2.684 0.143
W 2.375 1.150 1.098


| no. | magnetization (μB/atom) |
| --- | --- |
| 1 | 0.00 |
| 2 | 0.00 |
| 3 | 0.00 |
| 4 | 0.00 |